1.
RbTa3Mn | PBE | relaxed

The value obtained for the calculated formation energy is 1.3756 eV per atom. Its crystal system is cubic. Its total energy is -7.763 eV/atom. The value obtained for the energy above the most stable polymorph in this dataset is 0.0 meV/atom.

It has space group Pm-3m (No. 221), with a = 4.809 Å, b = 4.809 Å, c = 4.809 Å, α = 90.00°, β = 90.00° and γ = 90.00°. The asymmetric unit holds Rb at (0.000, 0.000, 0.000), Ta at (0.000, 0.500, 0.500) and Mn at (0.500, 0.500, 0.500).



2.
RbTa2Mn | PBE | relaxed

The value obtained for the calculated formation energy is 1.8156 eV per atom. Its crystal system is tetragonal. Its total energy is -6.645 eV/atom. The value obtained for the energy above the most stable polymorph in this dataset is 46.0 meV/atom.

It has space group I4_1/amd (No. 141, origin choice 2), with a = 5.893 Å, b = 5.893 Å, c = 14.218 Å, α = 90.00°, β = 90.00° and γ = 90.00°. The asymmetric unit holds Rb at (0.000, 0.250, 0.375), Ta at (0.000, 0.000, 0.000) and Mn at (0.000, 0.250, 0.875).



3.
RbTa2Mn | PBE | relaxed

The value obtained for the calculated formation energy is 1.7696 eV per atom. Its crystal system is cubic. Its total energy is -6.691 eV/atom. The value obtained for the energy above the most stable polymorph in this dataset is 0.0 meV/atom.

It has space group Fm-3m (No. 225), with a = 6.645 Å, b = 6.645 Å, c = 6.645 Å, α = 90.00°, β = 90.00° and γ = 90.00°. The asymmetric unit holds Rb at (0.000, 0.000, 0.000), Ta at (0.250, 0.250, 0.250) and Mn at (0.000, 0.000, 0.500).